# 1
The following is a DFT calculation (PBE) of a relaxed LaPmPt crystal.

Unit cell a=3.9300 b=12.3997 c=7.1838 alpha=90.00 beta=90.00 gamma=90.00
With the nearest neighbours (Å) after each atom.
Space group Cmcm (No. 63)
Inequivalent atoms, fractional coordinates:
La 0.0000 0.2147 0.2500  2 Pt 2.92
Pm 0.0000 0.5000 0.0000  4 Pt 3.00
Pt 0.0000 0.1111 0.7500  2 La 2.92, 4 Pm 3.00

The value obtained for the formation energy is -0.828 eV/atom. The density is 9088 kg/m³.


# 2
The following is a DFT calculation (PBE) of a relaxed La2Pm3Pt4 crystal.

Unit cell a=7.7599 b=7.8061 c=8.1245 alpha=90.00 beta=108.44 gamma=90.00
With the nearest neighbours (Å) after each atom.
Space group P2_1/c (No. 14)
Inequivalent atoms, fractional coordinates:
La 0.2023 0.1791 0.0944  6 Pt 3.04-3.33
Pm 0.2428 0.6656 0.2506  6 Pt 2.92-3.11
Pm 0.5000 0.0000 0.5000  6 Pt 3.00-3.22
Pt 0.0946 0.5324 0.8703  4 Pm 2.92-3.11, 1 Pt 2.97, 2 La 3.10-3.26
Pt 0.4959 0.1318 0.8740  1 Pt 2.89, 5 Pm 2.99-3.22, 1 La 3.04

The value obtained for the formation energy is -1.076 eV/atom. The density is 10622 kg/m³.